Density functional theory data (SCAN) for SmMn4Cu3O12 at its PBEsol-relaxed geometry.

```
SmMn4Cu3O12
1.0
6.230 0.000 0.000
-2.077 5.873 0.000
-2.077 -2.937 5.086
O Mn Cu Sm
12 4 3 1
Cartesian
-0.090 4.468 0.618
0.090 1.699 4.179
1.987 1.238 0.908
4.243 -0.167 1.526
-1.572 -0.651 4.179
-2.166 3.104 3.560
2.582 1.008 3.560
0.505 -0.357 2.434
3.648 3.587 0.908
-0.505 1.929 1.526
1.572 3.294 2.653
2.166 -1.532 4.468
-1.038 -1.468 2.543
3.115 0.000 0.000
-1.038 2.937 0.000
1.038 1.468 2.543
2.077 -1.468 2.543
-2.077 1.468 2.543
2.077 2.937 0.000
0.000 0.000 0.000
```

Uncorrected energy = -13.898 eV per atom
Symmetry = Im-3
Formation energy (no corrections) = -2.007 eV per atom
Density = 6.7 g/cm³